(1)
# PBE AcPtPb2, relaxed
data_AcPtPb2
_space_group_name_H-M_alt 'P 4/m m m'
_space_group_IT_number 123
_space_group_name_Hall '-P 4 2'
_cell_length_a 4.662
_cell_length_b 4.662
_cell_length_c 5.152
_cell_angle_alpha 90.00
_cell_angle_beta 90.00
_cell_angle_gamma 90.00
loop_
_atom_site_label
_atom_site_fract_x
_atom_site_fract_y
_atom_site_fract_z
Ac1 0.000 0.000 0.000
Pt1 0.500 0.500 0.000
Pb1 0.000 0.500 0.500
# D(E_F) = 2.22 states/eV/f.u.
# Energy relative to the lowest polymorph listed for this composition = 183 meV per atom
# Formation enthalpy at 0 K = -0.402 eV/atom
# Total DFT energy (no corrections) = -4.793 eV per atom


(2)
# PBE Mg2PPb, relaxed
data_Mg2PPb
_space_group_name_H-M_alt 'P 1 2/m 1'
_space_group_IT_number 10
_cell_length_a 4.457
_cell_length_b 3.780
_cell_length_c 6.062
_cell_angle_alpha 90.00
_cell_angle_beta 108.92
_cell_angle_gamma 90.00
loop_
_space_group_symop_operation_xyz
'x,y,z'
'-x,-y,-z'
'-x,y,-z'
'x,-y,z'
loop_
_atom_site_label
_atom_site_fract_x
_atom_site_fract_y
_atom_site_fract_z
Mg1 0.148 0.000 0.277
P1 0.000 0.500 0.500
Pb1 0.500 0.500 0.000
# D(E_F) = 1.54 states/eV/f.u.
# Formation enthalpy at 0 K = -0.132 eV/atom
# Total DFT energy (no corrections) = -3.209 eV per atom


(3)
# PBE GdInHgBi, relaxed
data_GdInHgBi
_space_group_name_H-M_alt 'F -4 3 m'
_space_group_IT_number 216
_space_group_name_Hall 'F -4 2 3'
_cell_length_a 7.677
_cell_length_b 7.677
_cell_length_c 7.677
_cell_angle_alpha 90.00
_cell_angle_beta 90.00
_cell_angle_gamma 90.00
loop_
_atom_site_label
_atom_site_fract_x
_atom_site_fract_y
_atom_site_fract_z
Gd1 0.000 0.000 0.000
In1 0.000 0.000 0.500
Hg1 0.250 0.250 0.750
Bi1 0.250 0.250 0.250
# D(E_F) = 3.93 states/eV/f.u.
# Formation enthalpy at 0 K = -0.296 eV/atom
# Total DFT energy (no corrections) = -5.546 eV per atom


(4)
# PBE Ag2Te2Br, relaxed
data_Ag2Te2Br
_space_group_name_H-M_alt 'I 4/m m m'
_space_group_IT_number 139
_space_group_name_Hall '-I 4 2'
_cell_length_a 4.352
_cell_length_b 4.352
_cell_length_c 14.640
_cell_angle_alpha 90.00
_cell_angle_beta 90.00
_cell_angle_gamma 90.00
loop_
_atom_site_label
_atom_site_fract_x
_atom_site_fract_y
_atom_site_fract_z
Ag1 0.000 0.000 0.096
Te1 0.000 0.500 0.250
Br1 0.000 0.000 0.500
# Formation energy (no corrections) = 0.125 eV/atom
# D(E_F) = 2.51 states/eV/f.u.
# Energy relative to the lowest polymorph listed for this composition = 227 meV per atom
# Total DFT energy (no corrections) = -2.606 eV per atom


(5)
# PBE PmEr2Th, relaxed
data_PmEr2Th
_space_group_name_H-M_alt 'F m -3 m'
_space_group_IT_number 225
_space_group_name_Hall '-F 4 2 3'
_cell_length_a 8.019
_cell_length_b 8.019
_cell_length_c 8.019
_cell_angle_alpha 90.00
_cell_angle_beta 90.00
_cell_angle_gamma 90.00
loop_
_atom_site_label
_atom_site_fract_x
_atom_site_fract_y
_atom_site_fract_z
Pm1 0.000 0.000 0.000
Er1 0.250 0.250 0.250
Th1 0.000 0.000 0.500
# D(E_F) = 8.28 states/eV/f.u.
# Energy relative to the lowest polymorph listed for this composition = 115 meV per atom
# Formation enthalpy at 0 K = 0.128 eV/atom
# Total DFT energy (no corrections) = -5.196 eV per atom


(6)
# PBE Fe4Ni3Pt4, relaxed
data_Fe4Ni3Pt4
_space_group_name_H-M_alt 'P -1'
_space_group_IT_number 2
_cell_length_a 2.691
_cell_length_b 3.651
_cell_length_c 14.959
_cell_angle_alpha 83.00
_cell_angle_beta 84.85
_cell_angle_gamma 89.99
loop_
_space_group_symop_operation_xyz
'x,y,z'
'-x,-y,-z'
loop_
_atom_site_label
_atom_site_fract_x
_atom_site_fract_y
_atom_site_fract_z
Fe1 0.093 0.092 0.315
Fe2 0.273 0.274 0.953
Ni1 0.000 0.000 0.500
Ni2 0.363 0.365 0.770
Pt1 0.183 0.182 0.136
Pt2 0.453 0.453 0.594
# D(E_F) = 10.79 states/eV/f.u.
# Formation enthalpy at 0 K = -0.164 eV/atom
# Total DFT energy (no corrections) = -7.015 eV per atom